DFT (PBE) results for K2CaNb after structural relaxation.

abc: 14.1005 14.1005 14.1005
angles: 160.13 160.13 28.24
With the nearest neighbours (Å) after each atom.
Fractional coordinates of all 8 atoms:
K: 0.1126 0.6250 0.9876  4 K 3.36-3.53
K: 0.3750 0.3626 0.4876  4 K 3.36-3.53
K: 0.6374 0.1250 0.0124  4 K 3.36-3.53
K: 0.8750 0.8874 0.5124  4 K 3.36-3.53
Ca: 0.2500 0.7500 0.5000  4 Nb 3.44, 4 K 3.85
Ca: 0.5000 0.5000 0.0000  4 Nb 3.44, 4 K 3.85
Nb: 0.0000 0.0000 0.0000  4 Ca 3.44, 4 K 3.81
Nb: 0.7500 0.2500 0.5000  4 Ca 3.44, 4 K 3.81

## Properties
**Fermi-level density of states**: 7.307 states/eV per cell
**Energy of formation**: 1127 meV/atom
**Excess energy over the best structure of this formula in the dataset**: 0.000 eV/atom